First-principles (PBE) data for crystalline Be3InHg at its relaxed geometry, as listed in Alexandria.

The structure belongs to space group Pm-3m (No. 221); the cell edges are 4.547, 4.547 and 4.547 Å and the angles 90.00°, 90.00° and 90.00°. Symmetry generates all atoms from Be at (0.000, 0.000, 0.500), In at (0.500, 0.500, 0.500) and Hg at (0.000, 0.000, 0.000).

The total magnetization is 0.0 μB/f.u. As for the formation energy: 0.829 eV per atom. The value obtained for the density of states at the Fermi level is 1.282 states/eV per cell. The energy relative to the lowest polymorph listed for this composition comes out at 0 meV/atom.

=====

First-principles (PBE) data for crystalline Ho2Th4Sc5 at its relaxed geometry, as listed in Alexandria.

The structure belongs to space group C2/m (No. 12); the cell edges are 17.557, 3.462 and 10.259 Å and the angles 90.00°, 92.07° and 90.00°. Symmetry generates all atoms from Ho at (0.097, 0.000, 0.459), Th at (0.042, 0.500, 0.728), Th at (0.181, 0.000, 0.908), Sc at (0.000, 0.000, 0.000), Sc at (0.137, 0.500, 0.175) and Sc at (0.228, 0.500, 0.644).

The total magnetization is 0.0 μB/f.u. As for the formation energy: 0.044 eV per atom. The value obtained for the density of states at the Fermi level is 28.336 states/eV per cell.